KHfNi: optimized geometry, PBEsol.

Cell: 4.4418 4.4418 4.4418 Å, 60.00 60.00 60.00°
Sites, in units of the cell vectors:
K 0.7500 0.7500 0.7500
Hf 0.5000 0.5000 0.5000
Ni 0.0000 0.0000 0.0000

energy of formation	2.006	eV per atom
electronic total energy	-3.93	eV/atom
density	7.4	g/cm³



KHfO3: optimized geometry, PBEsol.

Cell: 4.1304 4.1304 4.1304 Å, 90.00 90.00 90.00°
Site moments in Bohr magnetons follow the coordinates.
Sites, in units of the cell vectors:
K 0.5000 0.5000 0.5000  0.00
Hf 0.0000 0.0000 0.0000  -0.07
O 0.0000 0.5000 0.0000  0.29
O 0.0000 0.0000 0.5000  0.29
O 0.5000 0.0000 0.0000  0.29

ΔE_f (raw)	-245.0	kJ per mole of atoms
electronic total energy	-8.02	eV/atom
density	6.3	g/cm³



K2YHfP3O12: optimized geometry, PBEsol.

Cell: 10.3667 10.3667 10.3667 Å, 90.00 90.00 90.00°
Sites, in units of the cell vectors:
K 0.5717 0.0717 0.4283
K 0.0717 0.4283 0.5717
K 0.4283 0.5717 0.0717
K 0.9283 0.9283 0.9283
K 0.8021 0.3021 0.1979
K 0.3021 0.1979 0.8021
K 0.1979 0.8021 0.3021
K 0.6979 0.6979 0.6979
Y 0.0799 0.5799 0.9201
Y 0.5799 0.9201 0.0799
Y 0.9201 0.0799 0.5799
Y 0.4201 0.4201 0.4201
Hf 0.3547 0.8547 0.6453
Hf 0.8547 0.6453 0.3547
Hf 0.6453 0.3547 0.8547
Hf 0.1453 0.1453 0.1453
P 0.3790 0.5429 0.7422
P 0.2578 0.8790 0.9571
P 0.0429 0.7578 0.6210
P 0.8790 0.9571 0.2578
P 0.7578 0.6210 0.0429
P 0.5429 0.7422 0.3790
P 0.6210 0.0429 0.7578
P 0.7422 0.3790 0.5429
P 0.9571 0.2578 0.8790
P 0.1210 0.4571 0.2422
P 0.2422 0.1210 0.4571
P 0.4571 0.2422 0.1210
O 0.2696 0.5224 0.8390
O 0.1610 0.7696 0.9776
O 0.0224 0.6610 0.7304
O 0.7696 0.9776 0.1610
O 0.6610 0.7304 0.0224
O 0.5224 0.8390 0.2696
O 0.7304 0.0224 0.6610
O 0.8390 0.2696 0.5224
O 0.9776 0.1610 0.7696
O 0.2304 0.4776 0.3390
O 0.3390 0.2304 0.4776
O 0.4776 0.3390 0.2304
O 0.3444 0.4896 0.6091
O 0.3909 0.8444 0.0104
O 0.9896 0.8909 0.6556
O 0.8444 0.0104 0.3909
O 0.8909 0.6556 0.9896
O 0.4896 0.6091 0.3444
O 0.6556 0.9896 0.8909
O 0.6091 0.3444 0.4896
O 0.0104 0.3909 0.8444
O 0.1556 0.5104 0.1091
O 0.1091 0.1556 0.5104
O 0.5104 0.1091 0.1556
O 0.4162 0.6882 0.7352
O 0.2648 0.9162 0.8118
O 0.1882 0.7648 0.5838
O 0.9162 0.8118 0.2648
O 0.7648 0.5838 0.1882
O 0.6882 0.7352 0.4162
O 0.5838 0.1882 0.7648
O 0.7352 0.4162 0.6882
O 0.8118 0.2648 0.9162
O 0.0838 0.3118 0.2352
O 0.2352 0.0838 0.3118
O 0.3118 0.2352 0.0838
O 0.4994 0.4710 0.7948
O 0.2052 0.9994 0.0290
O 0.9710 0.7052 0.5006
O 0.9994 0.0290 0.2052
O 0.7052 0.5006 0.9710
O 0.4710 0.7948 0.4994
O 0.5006 0.9710 0.7052
O 0.7948 0.4994 0.4710
O 0.0290 0.2052 0.9994
O 0.0006 0.5290 0.2948
O 0.2948 0.0006 0.5290
O 0.5290 0.2948 0.0006

ΔE_f (raw)	-269.3	kJ per mole of atoms
electronic total energy	-8.05	eV/atom
density	3.8	g/cm³



K2HfScO: optimized geometry, PBEsol.

Cell: 3.8731 7.1729 7.1729 Å, 90.00 90.00 90.00°
Site moments in Bohr magnetons follow the coordinates.
Sites, in units of the cell vectors:
Sc 0.5000 0.5000 0.5000  0.72
K 0.0000 0.0000 0.5000  0.01
K 0.0000 0.5000 0.0000  0.01
Hf 0.0000 0.0000 0.0000  -0.01
O 0.5000 0.0000 0.0000  0.00

ΔE_f (raw)	6.0	kJ per mole of atoms
electronic total energy	-4.86	eV/atom
density	2.6	g/cm³



KHfPPd2: optimized geometry, PBEsol.

Cell: 4.4865 4.4865 5.1610 Å, 90.00 90.00 90.00°
Sites, in units of the cell vectors:
P 0.0000 0.0000 0.0000
K 0.0000 0.0000 0.5000
Hf 0.5000 0.5000 0.5000
Pd 0.0000 0.5000 0.0000
Pd 0.5000 0.0000 0.0000

energy of formation	0.601	eV per atom
electronic total energy	-5.27	eV/atom
density	7.4	g/cm³



K2HfTcPb: optimized geometry, PBEsol.

Cell: 4.6279 6.0464 6.0464 Å, 90.00 90.00 90.00°
Site moments in Bohr magnetons follow the coordinates.
Sites, in units of the cell vectors:
Pb 0.5000 0.5000 0.5000  0.00
K 0.0000 0.0000 0.5000  0.00
K 0.0000 0.5000 0.0000  0.00
Hf 0.5000 0.0000 0.0000  -0.01
Tc 0.0000 0.0000 0.0000  0.07

energy of formation	1.205	eV per atom
electronic total energy	-4.40	eV/atom
density	5.5	g/cm³



KSrHfPd2: optimized geometry, PBEsol.

Cell: 4.9672 4.9672 5.6008 Å, 90.00 90.00 90.00°
Sites, in units of the cell vectors:
Sr 0.5000 0.5000 0.5000
K 0.0000 0.0000 0.5000
Hf 0.0000 0.0000 0.0000
Pd 0.0000 0.5000 0.0000
Pd 0.5000 0.0000 0.0000

energy of formation	0.432	eV per atom
electronic total energy	-4.65	eV/atom
density	6.2	g/cm³



K2HfPt: optimized geometry, PBEsol.

Cell: 5.3320 5.3320 5.3320 Å, 60.00 60.00 60.00°
Site moments in Bohr magnetons follow the coordinates.
Sites, in units of the cell vectors:
K 0.2500 0.2500 0.2500  0.04
K 0.7500 0.7500 0.7500  0.04
Hf 0.0000 0.0000 0.0000  1.12
Pt 0.5000 0.5000 0.5000  0.01

energy of formation	1.340	eV per atom
electronic total energy	-3.59	eV/atom
density	7.0	g/cm³



KHfSn2Pt: optimized geometry, PBEsol.

Cell: 5.1070 5.1070 5.3535 Å, 90.00 90.00 90.00°
Sites, in units of the cell vectors:
K 0.0000 0.0000 0.5000
Hf 0.5000 0.5000 0.5000
Sn 0.0000 0.5000 0.0000
Sn 0.5000 0.0000 0.0000
Pt 0.0000 0.0000 0.0000

energy of formation	0.636	eV per atom
electronic total energy	-4.79	eV/atom
density	7.7	g/cm³



KRbHfRe2: optimized geometry, PBEsol.

Cell: 4.8461 4.8461 4.9543 Å, 90.00 90.00 90.00°
Site moments in Bohr magnetons follow the coordinates.
Sites, in units of the cell vectors:
Re 0.0000 0.5000 0.0000  0.85
Re 0.5000 0.0000 0.0000  0.85
K 0.0000 0.0000 0.0000  -0.02
Hf 0.0000 0.0000 0.5000  -0.24
Rb 0.5000 0.5000 0.5000  0.02

energy of formation	3.446	eV per atom
electronic total energy	-4.42	eV/atom
density	9.6	g/cm³



KHf2Rh: optimized geometry, PBEsol.

Cell: 4.7836 4.7836 4.7836 Å, 60.00 60.00 60.00°
Sites, in units of the cell vectors:
Rh 0.5000 0.5000 0.5000
K 0.0000 0.0000 0.0000
Hf 0.2500 0.2500 0.2500
Hf 0.7500 0.7500 0.7500

energy of formation	0.538	eV per atom
electronic total energy	-7.03	eV/atom
density	10.7	g/cm³



KHfRh3: optimized geometry, PBEsol.

Cell: 4.5086 4.5086 4.5086 Å, 90.00 90.00 90.00°
Sites, in units of the cell vectors:
Rh 0.0000 0.5000 0.0000
Rh 0.0000 0.0000 0.5000
Rh 0.5000 0.0000 0.0000
K 0.0000 0.0000 0.0000
Hf 0.5000 0.5000 0.5000

energy of formation	1.772	eV per atom
electronic total energy	-5.44	eV/atom
density	9.5	g/cm³



KHf3Ru: optimized geometry, PBEsol.

Cell: 4.6256 4.6256 4.6256 Å, 90.00 90.00 90.00°
Sites, in units of the cell vectors:
Ru 0.5000 0.5000 0.5000
K 0.0000 0.0000 0.0000
Hf 0.0000 0.5000 0.0000
Hf 0.0000 0.0000 0.5000
Hf 0.5000 0.0000 0.0000

energy of formation	2.275	eV per atom
electronic total energy	-6.29	eV/atom
density	11.3	g/cm³



KHfRu2: optimized geometry, PBEsol.

Cell: 4.6185 4.6185 4.6185 Å, 60.00 60.00 60.00°
Sites, in units of the cell vectors:
Ru 0.2500 0.2500 0.2500
Ru 0.7500 0.7500 0.7500
K 0.0000 0.0000 0.0000
Hf 0.5000 0.5000 0.5000

energy of formation	0.877	eV per atom
electronic total energy	-7.12	eV/atom
density	10.0	g/cm³



KHfS3: optimized geometry, PBEsol.

Cell: 4.9460 4.9460 4.9460 Å, 90.00 90.00 90.00°
Sites, in units of the cell vectors:
K 0.5000 0.5000 0.5000
Hf 0.0000 0.0000 0.0000
S 0.0000 0.5000 0.0000
S 0.0000 0.0000 0.5000
S 0.5000 0.0000 0.0000

ΔE_f (raw)	-119.2	kJ per mole of atoms
electronic total energy	-6.19	eV/atom
density	4.3	g/cm³



K2HfS: optimized geometry, PBEsol.

Cell: 4.8214 8.6142 8.6142 Å, 85.51 73.75 73.75°
Site moments in Bohr magnetons follow the coordinates.
Sites, in units of the cell vectors:
K 0.2745 0.8505 0.3505  0.02
K 0.4755 0.1495 0.6495  0.02
K 0.3750 0.3505 0.1495  0.02
K 0.8750 0.6495 0.8505  0.02
Hf 0.7500 0.5000 0.5000  0.77
Hf 0.0000 0.0000 0.0000  0.77
S 0.2500 0.5000 0.5000  -0.05
S 0.5000 0.0000 0.0000  -0.05

ΔE_f (raw)	1.7	kJ per mole of atoms
electronic total energy	-4.27	eV/atom
density	2.9	g/cm³



K3HfS: optimized geometry, PBEsol.

Cell: 5.9786 5.9786 5.9786 Å, 90.00 90.00 90.00°
Site moments in Bohr magnetons follow the coordinates.
Sites, in units of the cell vectors:
K 0.0000 0.5000 0.0000  0.01
K 0.0000 0.0000 0.5000  0.01
K 0.5000 0.0000 0.0000  0.01
Hf 0.5000 0.5000 0.5000  1.48
S 0.0000 0.0000 0.0000  -0.01

ΔE_f (raw)	51.8	kJ per mole of atoms
electronic total energy	-3.12	eV/atom
density	2.5	g/cm³



KHfSb2: optimized geometry, PBEsol.

Cell: 5.2314 5.2314 5.2314 Å, 60.00 60.00 60.00°
Sites, in units of the cell vectors:
Sb 0.2500 0.2500 0.2500
Sb 0.7500 0.7500 0.7500
K 0.0000 0.0000 0.0000
Hf 0.5000 0.5000 0.5000

ΔE_f (raw)	-1.2	kJ per mole of atoms
electronic total energy	-5.20	eV/atom
density	7.6	g/cm³



KHf3Se: optimized geometry, PBEsol.

Cell: 5.0520 5.0520 5.0520 Å, 90.00 90.00 90.00°
Sites, in units of the cell vectors:
K 0.5000 0.5000 0.5000
Hf 0.0000 0.5000 0.0000
Hf 0.0000 0.0000 0.5000
Hf 0.5000 0.0000 0.0000
Se 0.0000 0.0000 0.0000

ΔE_f (raw)	49.4	kJ per mole of atoms
electronic total energy	-6.79	eV/atom
density	8.4	g/cm³



K2HfSnSe: optimized geometry, PBEsol.

Cell: 5.2120 6.5314 6.5314 Å, 90.00 90.00 90.00°
Site moments in Bohr magnetons follow the coordinates.
Sites, in units of the cell vectors:
K 0.0000 0.0000 0.5000  0.01
K 0.0000 0.5000 0.0000  0.01
Hf 0.5000 0.5000 0.5000  1.31
Sn 0.0000 0.0000 0.0000  -0.10
Se 0.5000 0.0000 0.0000  -0.04

ΔE_f (raw)	101.1	kJ per mole of atoms
electronic total energy	-3.13	eV/atom
density	3.4	g/cm³



KHfSi2: optimized geometry, PBEsol.

Cell: 4.8327 4.8327 4.8327 Å, 60.00 60.00 60.00°
Sites, in units of the cell vectors:
K 0.0000 0.0000 0.0000
Hf 0.5000 0.5000 0.5000
Si 0.2500 0.2500 0.2500
Si 0.7500 0.7500 0.7500

ΔE_f (raw)	43.6	kJ per mole of atoms
electronic total energy	-5.33	eV/atom
density	5.7	g/cm³



K2HfSiSn: optimized geometry, PBEsol.

Cell: 5.0256 6.4060 6.4060 Å, 90.00 90.00 90.00°
Site moments in Bohr magnetons follow the coordinates.
Sites, in units of the cell vectors:
Si 0.5000 0.0000 0.0000  0.01
K 0.0000 0.0000 0.5000  0.01
K 0.0000 0.5000 0.0000  0.01
Hf 0.5000 0.5000 0.5000  1.25
Sn 0.0000 0.0000 0.0000  -0.04

ΔE_f (raw)	128.3	kJ per mole of atoms
electronic total energy	-3.23	eV/atom
density	3.2	g/cm³



KHfTa2Sn: optimized geometry, PBEsol.

Cell: 5.1566 5.1566 5.3383 Å, 90.00 90.00 90.00°
Sites, in units of the cell vectors:
K 0.5000 0.5000 0.5000
Hf 0.0000 0.0000 0.5000
Sn 0.0000 0.0000 0.0000
Ta 0.0000 0.5000 0.0000
Ta 0.5000 0.0000 0.0000

energy of formation	1.851	eV per atom
electronic total energy	-6.35	eV/atom
density	8.2	g/cm³



KHfTe2: optimized geometry, PBEsol.

Cell: 5.2604 5.2604 5.2604 Å, 60.00 60.00 60.00°
Site moments in Bohr magnetons follow the coordinates.
Sites, in units of the cell vectors:
K 0.0000 0.0000 0.0000  0.01
Te 0.2500 0.2500 0.2500  -0.03
Te 0.7500 0.7500 0.7500  -0.03
Hf 0.5000 0.5000 0.5000  0.48

ΔE_f (raw)	-34.0	kJ per mole of atoms
electronic total energy	-5.02	eV/atom
density	7.6	g/cm³



K2HfTe: optimized geometry, PBEsol.

Cell: 5.4927 8.6819 8.6819 Å, 84.26 71.56 71.56°
Site moments in Bohr magnetons follow the coordinates.
Sites, in units of the cell vectors:
K 0.5078 0.1172 0.6172  0.02
K 0.2422 0.8828 0.3828  0.02
K 0.3750 0.3828 0.1172  0.02
K 0.8750 0.6172 0.8828  0.02
Te 0.5000 0.0000 0.0000  -0.03
Te 0.2500 0.5000 0.5000  -0.03
Hf 0.0000 0.0000 0.0000  0.85
Hf 0.7500 0.5000 0.5000  0.85

ΔE_f (raw)	36.0	kJ per mole of atoms
electronic total energy	-3.70	eV/atom
density	3.4	g/cm³



no.,spin magnetization (μB per formula unit)
1,0.00
2,0.99
3,0.00
4,1.25
5,0.00
6,0.07
7,0.00
8,2.05
9,0.00
10,1.66
11,0.00
12,0.00
13,0.00
14,0.00
15,0.00
16,1.67
17,3.00
18,0.00
19,0.00
20,2.08
21,0.00
22,2.22
23,0.00
24,0.77
25,1.94